Record 1
Here is a relaxed structure of CaSb2P2 from Alexandria. Energies are from PBE-GGA.

The uncorrected formation energy is -0.96 eV per formula unit. The energy above the most stable polymorph in this dataset is 0.000 eV/atom. For the density, the calculation gives 4.593 g/cm3. As for the total magnetization: 0.00 μB/cell.

The space group is P4/mbm (No. 127) and the conventional cell measures 8.074, 8.074 and 3.833 Å, with angles of 90.00, 90.00 and 90.00 degrees. The distinct sites, in fractional coordinates, are Ca at (0.000, 0.000, 0.000), Sb at (0.166, 0.334, 0.500) and P at (0.180, 0.680, 0.000).



Record 2
Here is a relaxed structure of Ca2SbP from Alexandria. Energies are from PBE-GGA.

The uncorrected formation energy is -2.88 eV per formula unit. The energy above the most stable polymorph in this dataset is 0.124 eV/atom. For the density, the calculation gives 3.779 g/cm3. As for the total magnetization: 0.00 μB/cell.

The space group is P4/mmm (No. 123) and the conventional cell measures 5.521, 5.521 and 3.357 Å, with angles of 90.00, 90.00 and 90.00 degrees. The distinct sites, in fractional coordinates, are Ca at (0.000, 0.500, 0.000), Sb at (0.000, 0.000, 0.500) and P at (0.500, 0.500, 0.500).



Record 3
Here is a relaxed structure of Ca2SbP2 from Alexandria. Energies are from PBE-GGA.

The uncorrected formation energy is -3.76 eV per formula unit. The energy above the most stable polymorph in this dataset is 0.000 eV/atom. For the density, the calculation gives 3.776 g/cm3. As for the total magnetization: 0.00 μB/cell.

The space group is P4/mbm (No. 127) and the conventional cell measures 7.666, 7.666 and 3.949 Å, with angles of 90.00, 90.00 and 90.00 degrees. The distinct sites, in fractional coordinates, are Ca at (0.149, 0.351, 0.000), Sb at (0.000, 0.000, 0.500) and P at (0.161, 0.661, 0.500).



Record 4
Here is a relaxed structure of Ca6SbP2 from Alexandria. Energies are from PBE-GGA.

The uncorrected formation energy is -7.48 eV per formula unit. For the density, the calculation gives 2.264 g/cm3. As for the total magnetization: 1.80 μB/cell.

The space group is C2/m (No. 12) and the conventional cell measures 14.426, 5.422 and 9.725 Å, with angles of 90.00, 125.13 and 90.00 degrees. The distinct sites, in fractional coordinates, are Ca at (0.042, 0.000, 0.213), Ca at (0.152, 0.500, 0.560), Ca at (0.238, 0.500, 0.123), Sb at (0.000, 0.000, 0.500) and P at (0.178, 0.000, 0.087).



Record 5
Here is a relaxed structure of Ca2SbP from Alexandria. Energies are from PBE-GGA.

The uncorrected formation energy is -2.74 eV per formula unit. The energy above the most stable polymorph in this dataset is 0.160 eV/atom. For the density, the calculation gives 3.562 g/cm3. As for the total magnetization: 0.00 μB/cell.

The space group is I-42d (No. 122) and the conventional cell measures 8.175, 8.175 and 6.499 Å, with angles of 90.00, 90.00 and 90.00 degrees. The distinct sites, in fractional coordinates, are Ca at (0.209, 0.750, 0.125), Sb at (0.000, 0.000, 0.500) and P at (0.000, 0.000, 0.000).



Record 6
Here is a relaxed structure of CaSbP3 from Alexandria. Energies are from PBE-GGA.

The uncorrected formation energy is 5.42 eV per formula unit. The energy above the most stable polymorph in this dataset is 0.649 eV/atom. For the density, the calculation gives 3.137 g/cm3. As for the total magnetization: 0.00 μB/cell.

The space group is Pm-3m (No. 221) and the conventional cell measures 5.128, 5.128 and 5.128 Å, with angles of 90.00, 90.00 and 90.00 degrees. The distinct sites, in fractional coordinates, are Ca at (0.000, 0.000, 0.000), Sb at (0.500, 0.500, 0.500) and P at (0.000, 0.000, 0.500).



Record 7
Here is a relaxed structure of Ca2SbP from Alexandria. Energies are from PBE-GGA.

The uncorrected formation energy is -2.98 eV per formula unit. The energy above the most stable polymorph in this dataset is 0.099 eV/atom. For the density, the calculation gives 3.682 g/cm3. As for the total magnetization: 0.00 μB/cell.

The space group is C2/m (No. 12) and the conventional cell measures 8.980, 4.505 and 5.693 Å, with angles of 90.00, 114.19 and 90.00 degrees. The distinct sites, in fractional coordinates, are Ca at (0.233, 0.000, 0.217), Sb at (0.000, 0.000, 0.500) and P at (0.000, 0.500, 0.000).



Record 8
Here is a relaxed structure of CaSb2P2 from Alexandria. Energies are from PBE-GGA.

The uncorrected formation energy is -0.35 eV per formula unit. The energy above the most stable polymorph in this dataset is 0.121 eV/atom. For the density, the calculation gives 4.307 g/cm3. As for the total magnetization: 0.00 μB/cell.

The space group is I4/mmm (No. 139) and the conventional cell measures 5.306, 5.306 and 9.463 Å, with angles of 90.00, 90.00 and 90.00 degrees. The distinct sites, in fractional coordinates, are Ca at (0.000, 0.000, 0.000), Sb at (0.000, 0.000, 0.331) and P at (0.000, 0.500, 0.250).



Record 9
Here is a relaxed structure of CaSb2P2 from Alexandria. Energies are from PBE-GGA.

The uncorrected formation energy is -0.70 eV per formula unit. The energy above the most stable polymorph in this dataset is 0.051 eV/atom. For the density, the calculation gives 4.560 g/cm3. As for the total magnetization: 0.00 μB/cell.

The space group is I4/mmm (No. 139) and the conventional cell measures 4.270, 4.270 and 13.801 Å, with angles of 90.00, 90.00 and 90.00 degrees. The distinct sites, in fractional coordinates, are Ca at (0.000, 0.000, 0.000), Sb at (0.000, 0.500, 0.250) and P at (0.000, 0.000, 0.422).



Record 10
Here is a relaxed structure of Ca6Sb3P from Alexandria. Energies are from PBE-GGA.

The uncorrected formation energy is -10.03 eV per formula unit. The energy above the most stable polymorph in this dataset is 0.000 eV/atom. For the density, the calculation gives 3.175 g/cm3. As for the total magnetization: 0.00 μB/cell.

The space group is P2_1/c (No. 14) and the conventional cell measures 7.597, 8.111 and 13.139 Å, with angles of 90.00, 124.65 and 90.00 degrees. The distinct sites, in fractional coordinates, are Ca at (0.102, 0.068, 0.239), Ca at (0.253, 0.705, 0.074), Ca at (0.364, 0.180, 0.061), Sb at (0.279, 0.075, 0.754), Sb at (0.500, 0.000, 0.500) and P at (0.000, 0.000, 0.000).



Record 11
Here is a relaxed structure of Ca2SbP from Alexandria. Energies are from PBE-GGA.

The uncorrected formation energy is -2.72 eV per formula unit. The energy above the most stable polymorph in this dataset is 0.163 eV/atom. For the density, the calculation gives 3.795 g/cm3. As for the total magnetization: 0.00 μB/cell.

The space group is I-4m2 (No. 119) and the conventional cell measures 4.313, 4.313 and 10.955 Å, with angles of 90.00, 90.00 and 90.00 degrees. The distinct sites, in fractional coordinates, are Ca at (0.000, 0.000, 0.000), Ca at (0.000, 0.500, 0.250), Sb at (0.000, 0.000, 0.500) and P at (0.000, 0.500, 0.750).



Record 12
Here is a relaxed structure of Ca7Sb2P2 from Alexandria. Energies are from PBE-GGA.

The uncorrected formation energy is -9.54 eV per formula unit. For the density, the calculation gives 2.782 g/cm3. As for the total magnetization: 0.00 μB/cell.

The space group is Cmmm (No. 65) and the conventional cell measures 9.387, 10.553 and 7.063 Å, with angles of 90.00, 90.00 and 90.00 degrees. The distinct sites, in fractional coordinates, are Ca at (0.000, 0.000, 0.000), Ca at (0.000, 0.500, 0.239), Ca at (0.250, 0.250, 0.244), Sb at (0.223, 0.000, 0.500) and P at (0.000, 0.273, 0.000).



Record 13
Here is a relaxed structure of Ca2SbP from Alexandria. Energies are from PBE-GGA.

The uncorrected formation energy is -3.31 eV per formula unit. The energy above the most stable polymorph in this dataset is 0.017 eV/atom. For the density, the calculation gives 3.434 g/cm3. As for the total magnetization: 0.00 μB/cell.

The space group is R-3m (No. 166, hexagonal axes) and the conventional cell measures 3.9289, 3.9289 and 25.2697 Å, with angles of 90.00, 90.00 and 120.00 degrees. The distinct sites, in fractional coordinates, are Ca at (0.0000, 0.0000, 0.2326), Sb at (0.0000, 0.0000, 0.0000) and P at (0.0000, 0.0000, 0.5000).